Compound: MgUTc
Source: OQMD via LeMat-Bulk
Functional: PBE
Structure: relaxed

abc: 4.469 4.469 4.469
angles: 60.00 60.00 60.00
Positions (direct):
Mg 0.000 0.000 0.000
U 0.250 0.250 0.250
Tc 0.750 0.750 0.750

Computed properties:
ρ: 9.48 g/cm3
energy: -6.580 eV/atom
total magnetic moment: 0.57 μB per atom
space group: F-43m (216)